# Al3Si3Ag4IO12

Al3Si3Ag4IO12 at its PBEsol-relaxed geometry (SCAN, Alexandria via LeMat-Bulk).

Energy relative to the elements, uncorrected = -2.3571 eV/atom

abc: 8.9419 8.9419 8.9419
angles: 90.00 90.00 90.00
Closest atoms and distances in Å follow each position.
Element x y z (fractional)
Al 0.0000 0.2500 0.5000  4 O 1.75
Al 0.0000 0.7500 0.5000  4 O 1.75
Al 0.2500 0.5000 0.0000  4 O 1.75
Al 0.5000 0.0000 0.2500  4 O 1.75
Al 0.5000 0.0000 0.7500  4 O 1.75
Al 0.7500 0.5000 0.0000  4 O 1.75
Si 0.0000 0.5000 0.2500  4 O 1.64
Si 0.0000 0.5000 0.7500  4 O 1.64
Si 0.2500 0.0000 0.5000  4 O 1.64
Si 0.5000 0.2500 0.0000  4 O 1.64
Si 0.5000 0.7500 0.0000  4 O 1.64
Si 0.7500 0.0000 0.5000  4 O 1.64
Ag 0.1731 0.1731 0.1731  3 O 2.39
Ag 0.1731 0.8269 0.8269  3 O 2.39
Ag 0.3269 0.3269 0.6731  3 O 2.39
Ag 0.3269 0.6731 0.3269  3 O 2.39
Ag 0.6731 0.3269 0.3269  3 O 2.39
Ag 0.6731 0.6731 0.6731  3 O 2.39
Ag 0.8269 0.1731 0.8269  3 O 2.39
Ag 0.8269 0.8269 0.1731  3 O 2.39
I 0.0000 0.0000 0.0000  4 Ag 2.68
I 0.5000 0.5000 0.5000  4 Ag 2.68
O 0.0634 0.3618 0.6483  1 Si 1.64, 1 Al 1.75
O 0.0634 0.6382 0.3517  1 Si 1.64, 1 Al 1.75
O 0.1382 0.4366 0.1483  1 Si 1.64, 1 Al 1.75
O 0.1382 0.5634 0.8517  1 Si 1.64, 1 Al 1.75
O 0.1483 0.1382 0.4366  1 Si 1.64, 1 Al 1.75
O 0.1483 0.8618 0.5634  1 Si 1.64, 1 Al 1.75
O 0.3517 0.0634 0.6382  1 Si 1.64, 1 Al 1.75
O 0.3517 0.9366 0.3618  1 Si 1.64, 1 Al 1.75
O 0.3618 0.3517 0.9366  1 Si 1.64, 1 Al 1.75
O 0.3618 0.6483 0.0634  1 Si 1.64, 1 Al 1.75
O 0.4366 0.1483 0.1382  1 Si 1.64, 1 Al 1.75
O 0.4366 0.8517 0.8618  1 Si 1.64, 1 Al 1.75
O 0.5634 0.1483 0.8618  1 Si 1.64, 1 Al 1.75
O 0.5634 0.8517 0.1382  1 Si 1.64, 1 Al 1.75
O 0.6382 0.3517 0.0634  1 Si 1.64, 1 Al 1.75
O 0.6382 0.6483 0.9366  1 Si 1.64, 1 Al 1.75
O 0.6483 0.0634 0.3618  1 Si 1.64, 1 Al 1.75
O 0.6483 0.9366 0.6382  1 Si 1.64, 1 Al 1.75
O 0.8517 0.1382 0.5634  1 Si 1.64, 1 Al 1.75
O 0.8517 0.8618 0.4366  1 Si 1.64, 1 Al 1.75
O 0.8618 0.4366 0.8517  1 Si 1.64, 1 Al 1.75
O 0.8618 0.5634 0.1483  1 Si 1.64, 1 Al 1.75
O 0.9366 0.3618 0.3517  1 Si 1.64, 1 Al 1.75
O 0.9366 0.6382 0.6483  1 Si 1.64, 1 Al 1.75

=====

# CoNi2Rh

CoNi2Rh at its PBEsol-relaxed geometry (SCAN, Alexandria via LeMat-Bulk).

Distance to the lowest polymorph of the same formula = 0.16 eV/f.u.
Energy of formation from the pure elements = 0.026 eV/atom

abc: 2.5322 3.5596 5.0367
angles: 90.00 90.00 90.00
Closest atoms and distances in Å follow each position.
Element x y z (fractional)
Co 0.0000 0.0000 0.0000  8 Ni 2.49, 2 Rh 2.52, 2 Co 2.53
Ni 0.5000 0.5000 0.2384  4 Ni 2.40-2.63, 4 Co 2.49, 4 Rh 2.55
Ni 0.5000 0.5000 0.7616  4 Ni 2.40-2.63, 4 Co 2.49, 4 Rh 2.55
Rh 0.0000 0.0000 0.5000  2 Co 2.52, 2 Rh 2.53, 8 Ni 2.55

=====

# Zr2CdPb

Zr2CdPb at its PBEsol-relaxed geometry (SCAN, Alexandria via LeMat-Bulk).

Energy of formation from the pure elements = -0.097 eV/atom

abc: 3.1313 3.1313 9.4044
angles: 90.00 90.00 90.22
Closest atoms and distances in Å follow each position.
Element x y z (fractional)
Zr 0.0000 0.0000 0.0000  8 Zr 3.13, 4 Pb 3.31
Zr 0.5000 0.5000 0.2355  8 Zr 3.13, 4 Cd 3.14-3.15
Cd 0.0000 0.0000 0.4725  4 Cd 3.13, 4 Zr 3.14-3.15, 4 Pb 3.34
Pb 0.5000 0.5000 0.7385  4 Pb 3.13, 4 Zr 3.31, 4 Cd 3.34

=====

Please write out number 1 again, unchanged.
# Al3Si3Ag4IO12

Al3Si3Ag4IO12 at its PBEsol-relaxed geometry (SCAN, Alexandria via LeMat-Bulk).

Energy relative to the elements, uncorrected = -2.3571 eV/atom

abc: 8.9419 8.9419 8.9419
angles: 90.00 90.00 90.00
Closest atoms and distances in Å follow each position.
Element x y z (fractional)
Al 0.0000 0.2500 0.5000  4 O 1.75
Al 0.0000 0.7500 0.5000  4 O 1.75
Al 0.2500 0.5000 0.0000  4 O 1.75
Al 0.5000 0.0000 0.2500  4 O 1.75
Al 0.5000 0.0000 0.7500  4 O 1.75
Al 0.7500 0.5000 0.0000  4 O 1.75
Si 0.0000 0.5000 0.2500  4 O 1.64
Si 0.0000 0.5000 0.7500  4 O 1.64
Si 0.2500 0.0000 0.5000  4 O 1.64
Si 0.5000 0.2500 0.0000  4 O 1.64
Si 0.5000 0.7500 0.0000  4 O 1.64
Si 0.7500 0.0000 0.5000  4 O 1.64
Ag 0.1731 0.1731 0.1731  3 O 2.39
Ag 0.1731 0.8269 0.8269  3 O 2.39
Ag 0.3269 0.3269 0.6731  3 O 2.39
Ag 0.3269 0.6731 0.3269  3 O 2.39
Ag 0.6731 0.3269 0.3269  3 O 2.39
Ag 0.6731 0.6731 0.6731  3 O 2.39
Ag 0.8269 0.1731 0.8269  3 O 2.39
Ag 0.8269 0.8269 0.1731  3 O 2.39
I 0.0000 0.0000 0.0000  4 Ag 2.68
I 0.5000 0.5000 0.5000  4 Ag 2.68
O 0.0634 0.3618 0.6483  1 Si 1.64, 1 Al 1.75
O 0.0634 0.6382 0.3517  1 Si 1.64, 1 Al 1.75
O 0.1382 0.4366 0.1483  1 Si 1.64, 1 Al 1.75
O 0.1382 0.5634 0.8517  1 Si 1.64, 1 Al 1.75
O 0.1483 0.1382 0.4366  1 Si 1.64, 1 Al 1.75
O 0.1483 0.8618 0.5634  1 Si 1.64, 1 Al 1.75
O 0.3517 0.0634 0.6382  1 Si 1.64, 1 Al 1.75
O 0.3517 0.9366 0.3618  1 Si 1.64, 1 Al 1.75
O 0.3618 0.3517 0.9366  1 Si 1.64, 1 Al 1.75
O 0.3618 0.6483 0.0634  1 Si 1.64, 1 Al 1.75
O 0.4366 0.1483 0.1382  1 Si 1.64, 1 Al 1.75
O 0.4366 0.8517 0.8618  1 Si 1.64, 1 Al 1.75
O 0.5634 0.1483 0.8618  1 Si 1.64, 1 Al 1.75
O 0.5634 0.8517 0.1382  1 Si 1.64, 1 Al 1.75
O 0.6382 0.3517 0.0634  1 Si 1.64, 1 Al 1.75
O 0.6382 0.6483 0.9366  1 Si 1.64, 1 Al 1.75
O 0.6483 0.0634 0.3618  1 Si 1.64, 1 Al 1.75
O 0.6483 0.9366 0.6382  1 Si 1.64, 1 Al 1.75
O 0.8517 0.1382 0.5634  1 Si 1.64, 1 Al 1.75
O 0.8517 0.8618 0.4366  1 Si 1.64, 1 Al 1.75
O 0.8618 0.4366 0.8517  1 Si 1.64, 1 Al 1.75
O 0.8618 0.5634 0.1483  1 Si 1.64, 1 Al 1.75
O 0.9366 0.3618 0.3517  1 Si 1.64, 1 Al 1.75
O 0.9366 0.6382 0.6483  1 Si 1.64, 1 Al 1.75